No. 1
## ScWN2 (PBE)

Data for ScWN2 after structural relaxation.

Results
V   13.552 A^3/atom
Calculated total energy   -9.770 eV per atom

Unit cell a=4.737 b=4.737 c=9.663 alpha=90.00 beta=90.00 gamma=90.00
Space group I-42d (No. 122)
Symmetry-distinct sites (fractional):
Sc 0.000 0.000 0.000 (multiplicity 4)
W 0.000 0.000 0.500 (multiplicity 4)
N 0.220 0.250 0.625 (multiplicity 8)

---

No. 2
## Nd2YAg (PBE)

Data for Nd2YAg after structural relaxation.

Results
DFT formation energy   -0.0090 eV/atom
V   30.882 A^3/atom
Calculated total energy   -4.722 eV per atom

Unit cell a=3.6482 b=3.6482 c=32.1514 alpha=90.00 beta=90.00 gamma=120.00
Space group R-3m (No. 166, hexagonal axes)
Symmetry-distinct sites (fractional):
Nd 0.0000 0.0000 0.2420 (multiplicity 6)
Y 0.0000 0.0000 0.0000 (multiplicity 3)
Ag 0.0000 0.0000 0.5000 (multiplicity 3)

---

No. 3
## Ce2YRe9 (PBE)

Data for Ce2YRe9 after structural relaxation.

Results
DFT formation energy   0.0143 eV/atom
V   18.575 A^3/atom
Calculated total energy   -10.849 eV per atom

Unit cell a=5.3009 b=5.3009 c=27.4790 alpha=90.00 beta=90.00 gamma=120.00
Space group R-3m (No. 166, hexagonal axes)
Symmetry-distinct sites (fractional):
Ce 0.0000 0.0000 0.1471 (multiplicity 6)
Y 0.0000 0.0000 0.0000 (multiplicity 3)
Re 0.0000 0.0000 0.3350 (multiplicity 6)
Re 0.0000 0.0000 0.5000 (multiplicity 3)
Re 0.0032 0.5016 0.9181 (multiplicity 18)

---

No. 4
## LiPr2Cu (PBE)

Data for LiPr2Cu after structural relaxation.

Results
DFT formation energy   0.0284 eV/atom
V   25.326 A^3/atom
Calculated total energy   -3.864 eV per atom

Unit cell a=7.400 b=7.400 c=7.400 alpha=90.00 beta=90.00 gamma=90.00
Space group Fm-3m (No. 225)
Symmetry-distinct sites (fractional):
Li 0.000 0.000 0.000 (multiplicity 4)
Pr 0.250 0.250 0.250 (multiplicity 8)
Cu 0.000 0.000 0.500 (multiplicity 4)